No. 1
The following is a PBE calculation of a relaxed structure of Pr4GaCo2, from Alexandria via LeMat-Bulk.

```
Pr4GaCo2
1.0
4.0401 0.0000 0.0000
-2.0200 5.2759 0.0000
0.0000 0.0000 19.0439
Pr Co Ga
8 4 2
Cartesian
2.0201 3.0439 7.0492
0.0000 2.2321 11.9947
0.0000 2.2321 16.5712
2.0200 4.5320 14.2830
2.0201 3.0439 2.4727
2.0200 0.0000 9.5220
2.0200 0.0000 0.0000
0.0000 0.7439 4.7610
0.0000 2.3041 9.1642
2.0201 2.9719 18.6862
0.0000 2.3041 0.3578
2.0201 2.9719 9.8797
2.0200 1.5553 14.2830
0.0000 3.7206 4.7610
```

Summary:
theoretical density	6.1	g/cm3
excess energy over the best structure of this formula in the dataset	1.89	kcal/mol of atoms
N(E_F)	1.185	states/eV/atom
crystal system	orthorhombic
total magnetization	1.265	μB per formula unit

No. 2
The following is a PBE calculation of a relaxed structure of Pr2GaCo, from Alexandria via LeMat-Bulk.

```
Pr2GaCo
1.0
-1.9899 -3.1533 2.7822
5.0605 -6.1034 -3.2981
3.1510 4.0429 2.9462
Ga Co Pr
2 2 4
Cartesian
2.7989 -6.1567 -1.0804
0.2717 -3.1001 0.5644
3.7937 -4.5802 -2.4713
-0.7231 -4.6765 1.9553
3.6834 -2.7350 -0.4643
2.5382 -2.4787 2.8946
1.1537 0.3175 1.1840
5.0679 -5.5313 1.2463
```

Summary:
theoretical density	6.8	g/cm3
N(E_F)	0.933	states/eV/atom
crystal system	monoclinic
total magnetization	0.000	μB per formula unit

No. 3
The following is a PBE calculation of a relaxed structure of PrGa3Co, from Alexandria via LeMat-Bulk.

```
PrGa3Co
1.0
-0.6364 2.0274 -4.0659
-0.1989 -4.1141 -2.0202
-4.5390 -0.1040 0.6586
Ga Pr Co
3 1 1
Cartesian
-0.0995 -2.0571 -1.0101
-0.3182 1.0137 -2.0330
-2.2695 -0.0520 0.3293
-2.6872 -1.0954 -2.7138
0.0000 0.0000 0.0000
```

Summary:
theoretical density	7.0	g/cm3
N(E_F)	0.835	states/eV/atom
crystal system	cubic
total magnetization	0.004	μB per formula unit

No. 4
The following is a PBE calculation of a relaxed structure of PrGa7Co5, from Alexandria via LeMat-Bulk.

```
PrGa7Co5
1.0
-3.9842 -2.8515 -1.4653
0.0501 -6.0174 2.6500
-5.2265 0.6986 3.9281
Ga Pr Co
7 1 5
Cartesian
-4.3937 -3.6989 1.2971
-4.7667 -4.4710 3.8140
-2.2713 -2.0036 1.1512
-3.0005 -6.0281 2.0418
-6.1195 -2.0583 2.7973
-5.7732 -6.6163 1.8018
-7.4244 -4.5147 2.2018
-5.1695 -5.3047 6.5318
-1.9507 -4.3479 0.6098
-0.0615 -2.9958 1.3046
-2.6266 0.2690 1.9259
-4.5158 -1.0831 1.2312
-6.8903 -6.1688 3.9686
```

Summary:
theoretical density	8.2	g/cm3
N(E_F)	0.686	states/eV/atom
crystal system	orthorhombic
total magnetization	0.294	μB per formula unit

No. 5
The following is a PBE calculation of a relaxed structure of Pr6GaCo, from Alexandria via LeMat-Bulk.

```
Pr6GaCo
1.0
6.6859 0.1272 0.0000
1.7044 7.3407 0.0000
0.8522 3.6703 5.3265
Pr Ga Co
6 1 1
Cartesian
2.5859 1.6473 0.0000
5.7312 2.5558 1.8922
3.5112 8.5824 3.4343
6.5834 6.2262 3.4343
5.8043 5.8206 0.0000
2.6590 4.9121 1.8922
0.0000 0.0000 0.0000
4.1951 3.7339 0.0000
```

Summary:
theoretical density	6.2	g/cm3
N(E_F)	1.305	states/eV/atom
crystal system	monoclinic
total magnetization	0.000	μB per formula unit

No. 6
The following is a PBE calculation of a relaxed structure of PrGa9Co2, from Alexandria via LeMat-Bulk.

```
PrGa9Co2
1.0
6.7933 0.0000 3.1275
3.3966 7.3129 1.5637
0.3385 0.0000 8.2064
Ga Co Pr
18 4 2
Cartesian
4.3913 4.9495 2.6626
5.3117 2.3634 3.0862
2.7404 4.9495 8.6714
5.4809 1.2931 7.1895
6.9625 3.6564 7.2307
7.2123 4.2386 9.9475
3.6464 6.7307 4.2806
4.7360 3.0743 8.8075
2.5650 0.5821 6.6297
1.8201 2.3634 8.2477
3.4853 6.7307 7.0534
2.3957 3.0743 2.5265
1.6508 1.2931 4.1445
7.9572 6.0198 8.3295
4.5668 0.5821 4.7042
5.9678 6.0198 6.1319
0.0000 0.0000 0.0000
6.7127 4.2386 4.5139
8.5762 5.4846 5.9610
7.0471 1.8282 9.2823
6.8779 1.8282 5.1791
5.3488 5.4846 8.5004
3.3966 0.0000 1.5637
3.5659 3.6564 5.6670
```

Summary:
theoretical density	7.4	g/cm3
excess energy over the best structure of this formula in the dataset	1.65	kcal/mol of atoms
N(E_F)	0.357	states/eV/atom
crystal system	tetragonal
total magnetization	0.000	μB per formula unit

Result set for ΔE_f: -0.14; -0.91; -2.14; -4.08; -0.10; -2.81 eV/f.u., one per record in the order listed.